## In2RuWF (PBE+U)

Data for a geometry-optimized In2RuWF structure.

size of the total moment: 0.9263 μB/atom
DFT total energy: -20.6 eV per cell

Cell lengths 5.447, 3.970, 5.447 Å; angles 90.00, 90.00, 90.00 degrees
Each line ends with the local moment (μB).
Atoms (fractional coordinates):
Ru 0.500 0.500 0.500  1.96
F 0.000 0.500 0.000  0.08
W 0.000 0.000 0.000  2.44
In 0.000 0.000 0.500  -0.04
In 0.500 0.000 0.000  -0.07